No. 1
A plane-wave DFT calculation with PBE was carried out for crystalline CdNiB at its relaxed geometry.

**Magnetic moment**: 0.00 μB/f.u.

The structure in CIF format:
```
data_CdNiB
_symmetry_space_group_name_H-M 'F -4 3 m'
_symmetry_Int_Tables_number 216
_symmetry_space_group_name_Hall 'F -4 2 3'
_cell_length_a 5.5589
_cell_length_b 5.5589
_cell_length_c 5.5589
_cell_angle_alpha 90.00
_cell_angle_beta 90.00
_cell_angle_gamma 90.00
loop_
_atom_site_label
_atom_site_fract_x
_atom_site_fract_y
_atom_site_fract_z
_atom_site_occupancy
Cd1 0.0000 0.0000 0.0000 1
Ni1 0.2500 0.2500 0.7500 1
B1 0.0000 0.0000 0.5000 1
```

No. 2
A plane-wave DFT calculation with PBE was carried out for crystalline CdNiB at its relaxed geometry.

**Magnetic moment**: 0.01 μB/f.u.

The structure in CIF format:
```
data_CdNiB
_symmetry_space_group_name_H-M 'F -4 3 m'
_symmetry_Int_Tables_number 216
_symmetry_space_group_name_Hall 'F -4 2 3'
_cell_length_a 5.6676
_cell_length_b 5.6676
_cell_length_c 5.6676
_cell_angle_alpha 90.00
_cell_angle_beta 90.00
_cell_angle_gamma 90.00
loop_
_atom_site_label
_atom_site_fract_x
_atom_site_fract_y
_atom_site_fract_z
_atom_site_occupancy
Cd1 0.0000 0.0000 0.0000 1
Ni1 0.2500 0.2500 0.2500 1
B1 0.2500 0.2500 0.7500 1
```

No. 3
A plane-wave DFT calculation with PBE was carried out for crystalline CdNiB2 at its relaxed geometry.

**Magnetic moment**: 0.01 μB/f.u.

The structure in CIF format:
```
data_CdNiB2
_symmetry_space_group_name_H-M 'F -4 3 m'
_symmetry_Int_Tables_number 216
_symmetry_space_group_name_Hall 'F -4 2 3'
_cell_length_a 5.6983
_cell_length_b 5.6983
_cell_length_c 5.6983
_cell_angle_alpha 90.00
_cell_angle_beta 90.00
_cell_angle_gamma 90.00
loop_
_atom_site_label
_atom_site_fract_x
_atom_site_fract_y
_atom_site_fract_z
_atom_site_occupancy
Cd1 0.0000 0.0000 0.0000 1
Ni1 0.2500 0.2500 0.7500 1
B1 0.0000 0.0000 0.5000 1
B2 0.2500 0.2500 0.2500 1
```

No. 4
A plane-wave DFT calculation with PBE was carried out for crystalline CdNiBPd at its relaxed geometry.

**Magnetic moment**: 0.00 μB/f.u.

The structure in CIF format:
```
data_CdNiBPd
_symmetry_space_group_name_H-M 'F -4 3 m'
_symmetry_Int_Tables_number 216
_symmetry_space_group_name_Hall 'F -4 2 3'
_cell_length_a 5.9718
_cell_length_b 5.9718
_cell_length_c 5.9718
_cell_angle_alpha 90.00
_cell_angle_beta 90.00
_cell_angle_gamma 90.00
loop_
_atom_site_label
_atom_site_fract_x
_atom_site_fract_y
_atom_site_fract_z
_atom_site_occupancy
Cd1 0.0000 0.0000 0.0000 1
Ni1 0.2500 0.2500 0.7500 1
B1 0.0000 0.0000 0.5000 1
Pd1 0.2500 0.2500 0.2500 1
```

No. 5
A plane-wave DFT calculation with PBE was carried out for crystalline CdNiBPd at its relaxed geometry.

**Magnetic moment**: 0.01 μB/f.u.

The structure in CIF format:
```
data_CdNiBPd
_symmetry_space_group_name_H-M 'F -4 3 m'
_symmetry_Int_Tables_number 216
_symmetry_space_group_name_Hall 'F -4 2 3'
_cell_length_a 5.9229
_cell_length_b 5.9229
_cell_length_c 5.9229
_cell_angle_alpha 90.00
_cell_angle_beta 90.00
_cell_angle_gamma 90.00
loop_
_atom_site_label
_atom_site_fract_x
_atom_site_fract_y
_atom_site_fract_z
_atom_site_occupancy
Cd1 0.0000 0.0000 0.0000 1
Ni1 0.2500 0.2500 0.2500 1
B1 0.2500 0.2500 0.7500 1
Pd1 0.0000 0.0000 0.5000 1
```

No. 6
A plane-wave DFT calculation with PBE was carried out for crystalline CdReNiB at its relaxed geometry.

**Magnetic moment**: 0.95 μB/f.u.

The structure in CIF format:
```
data_CdReNiB
_symmetry_space_group_name_H-M 'F -4 3 m'
_symmetry_Int_Tables_number 216
_symmetry_space_group_name_Hall 'F -4 2 3'
_cell_length_a 5.9033
_cell_length_b 5.9033
_cell_length_c 5.9033
_cell_angle_alpha 90.00
_cell_angle_beta 90.00
_cell_angle_gamma 90.00
loop_
_atom_site_label
_atom_site_fract_x
_atom_site_fract_y
_atom_site_fract_z
_atom_site_occupancy
Cd1 0.0000 0.0000 0.0000 1
Re1 0.0000 0.0000 0.5000 1
Ni1 0.2500 0.2500 0.7500 1
B1 0.2500 0.2500 0.2500 1
```

No. 7
A plane-wave DFT calculation with PBE was carried out for crystalline TaCdNiB at its relaxed geometry.

**Magnetic moment**: 0.00 μB/f.u.

The structure in CIF format:
```
data_TaCdNiB
_symmetry_space_group_name_H-M 'F -4 3 m'
_symmetry_Int_Tables_number 216
_symmetry_space_group_name_Hall 'F -4 2 3'
_cell_length_a 6.0105
_cell_length_b 6.0105
_cell_length_c 6.0105
_cell_angle_alpha 90.00
_cell_angle_beta 90.00
_cell_angle_gamma 90.00
loop_
_atom_site_label
_atom_site_fract_x
_atom_site_fract_y
_atom_site_fract_z
_atom_site_occupancy
Ta1 0.0000 0.0000 0.0000 1
Cd1 0.0000 0.0000 0.5000 1
Ni1 0.2500 0.2500 0.7500 1
B1 0.2500 0.2500 0.2500 1
```

No. 8
A plane-wave DFT calculation with PBE was carried out for crystalline TaCdNiB at its relaxed geometry.

**Magnetic moment**: 0.00 μB/f.u.

The structure in CIF format:
```
data_TaCdNiB
_symmetry_space_group_name_H-M 'F -4 3 m'
_symmetry_Int_Tables_number 216
_symmetry_space_group_name_Hall 'F -4 2 3'
_cell_length_a 6.0540
_cell_length_b 6.0540
_cell_length_c 6.0540
_cell_angle_alpha 90.00
_cell_angle_beta 90.00
_cell_angle_gamma 90.00
loop_
_atom_site_label
_atom_site_fract_x
_atom_site_fract_y
_atom_site_fract_z
_atom_site_occupancy
Ta1 0.0000 0.0000 0.0000 1
Cd1 0.2500 0.2500 0.7500 1
Ni1 0.0000 0.0000 0.5000 1
B1 0.2500 0.2500 0.2500 1
```

No. 9
A plane-wave DFT calculation with PBE was carried out for crystalline CdTcNiB at its relaxed geometry.

**Magnetic moment**: 0.93 μB/f.u.

The structure in CIF format:
```
data_CdTcNiB
_symmetry_space_group_name_H-M 'F -4 3 m'
_symmetry_Int_Tables_number 216
_symmetry_space_group_name_Hall 'F -4 2 3'
_cell_length_a 5.8887
_cell_length_b 5.8887
_cell_length_c 5.8887
_cell_angle_alpha 90.00
_cell_angle_beta 90.00
_cell_angle_gamma 90.00
loop_
_atom_site_label
_atom_site_fract_x
_atom_site_fract_y
_atom_site_fract_z
_atom_site_occupancy
Cd1 0.0000 0.0000 0.0000 1
Tc1 0.0000 0.0000 0.5000 1
Ni1 0.2500 0.2500 0.2500 1
B1 0.2500 0.2500 0.7500 1
```

No. 10
A plane-wave DFT calculation with PBE was carried out for crystalline CdTcNiB at its relaxed geometry.

**Magnetic moment**: 0.28 μB/f.u.

The structure in CIF format:
```
data_CdTcNiB
_symmetry_space_group_name_H-M 'F -4 3 m'
_symmetry_Int_Tables_number 216
_symmetry_space_group_name_Hall 'F -4 2 3'
_cell_length_a 5.9299
_cell_length_b 5.9299
_cell_length_c 5.9299
_cell_angle_alpha 90.00
_cell_angle_beta 90.00
_cell_angle_gamma 90.00
loop_
_atom_site_label
_atom_site_fract_x
_atom_site_fract_y
_atom_site_fract_z
_atom_site_occupancy
Cd1 0.0000 0.0000 0.0000 1
Tc1 0.2500 0.2500 0.2500 1
Ni1 0.2500 0.2500 0.7500 1
B1 0.0000 0.0000 0.5000 1
```

No. 11
A plane-wave DFT calculation with PBE was carried out for crystalline CdNiBW at its relaxed geometry.

**Magnetic moment**: 0.05 μB/f.u.

The structure in CIF format:
```
data_CdNiBW
_symmetry_space_group_name_H-M 'F -4 3 m'
_symmetry_Int_Tables_number 216
_symmetry_space_group_name_Hall 'F -4 2 3'
_cell_length_a 5.9429
_cell_length_b 5.9429
_cell_length_c 5.9429
_cell_angle_alpha 90.00
_cell_angle_beta 90.00
_cell_angle_gamma 90.00
loop_
_atom_site_label
_atom_site_fract_x
_atom_site_fract_y
_atom_site_fract_z
_atom_site_occupancy
Cd1 0.0000 0.0000 0.0000 1
Ni1 0.2500 0.2500 0.2500 1
B1 0.2500 0.2500 0.7500 1
W1 0.0000 0.0000 0.5000 1
```

No. 12
A plane-wave DFT calculation with PBE was carried out for crystalline YCdNiB at its relaxed geometry.

**Magnetic moment**: 0.01 μB/f.u.

The structure in CIF format:
```
data_YCdNiB
_symmetry_space_group_name_H-M 'F -4 3 m'
_symmetry_Int_Tables_number 216
_symmetry_space_group_name_Hall 'F -4 2 3'
_cell_length_a 6.3641
_cell_length_b 6.3641
_cell_length_c 6.3641
_cell_angle_alpha 90.00
_cell_angle_beta 90.00
_cell_angle_gamma 90.00
loop_
_atom_site_label
_atom_site_fract_x
_atom_site_fract_y
_atom_site_fract_z
_atom_site_occupancy
Y1 0.0000 0.0000 0.0000 1
Cd1 0.0000 0.0000 0.5000 1
Ni1 0.2500 0.2500 0.7500 1
B1 0.2500 0.2500 0.2500 1
```

No. 13
A plane-wave DFT calculation with PBE was carried out for crystalline ZnCdNiB at its relaxed geometry.

**Magnetic moment**: 0.01 μB/f.u.

The structure in CIF format:
```
data_ZnCdNiB
_symmetry_space_group_name_H-M 'F -4 3 m'
_symmetry_Int_Tables_number 216
_symmetry_space_group_name_Hall 'F -4 2 3'
_cell_length_a 5.9625
_cell_length_b 5.9625
_cell_length_c 5.9625
_cell_angle_alpha 90.00
_cell_angle_beta 90.00
_cell_angle_gamma 90.00
loop_
_atom_site_label
_atom_site_fract_x
_atom_site_fract_y
_atom_site_fract_z
_atom_site_occupancy
Zn1 0.0000 0.0000 0.0000 1
Cd1 0.0000 0.0000 0.5000 1
Ni1 0.2500 0.2500 0.2500 1
B1 0.2500 0.2500 0.7500 1
```

No. 14
A plane-wave DFT calculation with PBE was carried out for crystalline CdB4O7 at its relaxed geometry.

The structure in CIF format:
```
data_CdB4O7
_symmetry_space_group_name_H-M 'C m c m'
_symmetry_Int_Tables_number 63
_symmetry_space_group_name_Hall '-C 2c 2'
_cell_length_a 10.9765
_cell_length_b 6.7774
_cell_length_c 5.2733
_cell_angle_alpha 90.00
_cell_angle_beta 90.00
_cell_angle_gamma 90.00
loop_
_atom_site_label
_atom_site_fract_x
_atom_site_fract_y
_atom_site_fract_z
_atom_site_occupancy
Cd1 0.0000 0.2167 0.2500 1
B1 0.1213 0.2107 0.7500 1
B2 0.2111 0.5000 0.0000 1
O1 0.0000 0.1137 0.7500 1
O2 0.1381 0.3263 0.5273 1
O3 0.2121 0.0287 0.7500 1
```

No. 15
A plane-wave DFT calculation with PBE was carried out for crystalline CdB2O4 at its relaxed geometry.

The structure in CIF format:
```
data_CdB2O4
_symmetry_space_group_name_H-M 'P 63'
_symmetry_Int_Tables_number 173
_cell_length_a 8.8723
_cell_length_b 8.8723
_cell_length_c 7.1658
_cell_angle_alpha 90.00
_cell_angle_beta 90.00
_cell_angle_gamma 120.00
loop_
_symmetry_equiv_pos_as_xyz
'x,y,z'
'x-y,x,z+1/2'
'-y,x-y,z'
'-x,-y,z+1/2'
'-x+y,-x,z'
'y,-x+y,z+1/2'
loop_
_atom_site_label
_atom_site_fract_x
_atom_site_fract_y
_atom_site_fract_z
_atom_site_occupancy
Cd1 0.0000 0.0000 0.0000 1
Cd2 0.0437 0.5235 0.4719 1
B1 0.1533 0.8245 0.7784 1
B2 0.1540 0.8272 0.1646 1
B3 0.3333 0.6667 0.1868 1
B4 0.3333 0.6667 0.7988 1
O1 0.0045 0.8184 0.2631 1
O2 0.0080 0.7099 0.6516 1
O3 0.0922 0.7622 0.9710 1
O4 0.1883 0.4968 0.7279 1
O5 0.2102 0.7185 0.2653 1
O6 0.3333 0.6667 0.9941 1
```

No. 16
A plane-wave DFT calculation with PBE was carried out for crystalline Cd3B2O6 at its relaxed geometry.

The structure in CIF format:
```
data_Cd3B2O6
_symmetry_space_group_name_H-M 'P -1'
_symmetry_Int_Tables_number 2
_cell_length_a 6.1345
_cell_length_b 6.1425
_cell_length_c 7.4515
_cell_angle_alpha 76.70
_cell_angle_beta 80.99
_cell_angle_gamma 82.65
loop_
_symmetry_equiv_pos_as_xyz
'x,y,z'
'-x,-y,-z'
loop_
_atom_site_label
_atom_site_fract_x
_atom_site_fract_y
_atom_site_fract_z
_atom_site_occupancy
Cd1 0.1257 0.2394 0.4991 1
Cd2 0.2292 0.0644 0.0585 1
Cd3 0.3662 0.5582 0.7945 1
B1 0.1205 0.5648 0.1386 1
B2 0.4120 0.8328 0.3732 1
O1 0.0379 0.4703 0.7060 1
O2 0.1086 0.7554 0.9951 1
O3 0.1912 0.9257 0.3811 1
O4 0.2950 0.4024 0.1164 1
O5 0.4764 0.1711 0.8030 1
O6 0.4888 0.2555 0.4712 1
```

No. 17
A plane-wave DFT calculation with PBE was carried out for crystalline CdB4O7 at its relaxed geometry.

The structure in CIF format:
```
data_CdB4O7
_symmetry_space_group_name_H-M 'P b c a'
_symmetry_Int_Tables_number 61
_cell_length_a 8.1797
_cell_length_b 8.6328
_cell_length_c 14.1225
_cell_angle_alpha 90.00
_cell_angle_beta 90.00
_cell_angle_gamma 90.00
loop_
_symmetry_equiv_pos_as_xyz
'x,y,z'
'-x,-y,-z'
'-x+1/2,-y,z+1/2'
'x+1/2,y,-z+1/2'
'x+1/2,-y+1/2,-z'
'-x+1/2,y+1/2,z'
'-x,y+1/2,-z+1/2'
'x,-y+1/2,z+1/2'
loop_
_atom_site_label
_atom_site_fract_x
_atom_site_fract_y
_atom_site_fract_z
_atom_site_occupancy
Cd1 0.1231 0.1112 0.1115 1
B1 0.0102 0.0504 0.3421 1
B2 0.0162 0.1835 0.7648 1
B3 0.0458 0.7224 0.5643 1
B4 0.2177 0.1368 0.4519 1
O1 0.0326 0.1579 0.2573 1
O2 0.0340 0.6220 0.6506 1
O3 0.0533 0.0991 0.6864 1
O4 0.1078 0.6266 0.0928 1
O5 0.1179 0.2420 0.9774 1
O6 0.1317 0.6269 0.4946 1
O7 0.1710 0.0325 0.3859 1
```

No. 18
A plane-wave DFT calculation with PBE was carried out for crystalline Cd2B2O5 at its relaxed geometry.

The structure in CIF format:
```
data_Cd2B2O5
_symmetry_space_group_name_H-M 'P 4/m m m'
_symmetry_Int_Tables_number 123
_symmetry_space_group_name_Hall '-P 4 2'
_cell_length_a 3.4238
_cell_length_b 3.4238
_cell_length_c 6.9261
_cell_angle_alpha 90.00
_cell_angle_beta 90.00
_cell_angle_gamma 90.00
loop_
_atom_site_label
_atom_site_fract_x
_atom_site_fract_y
_atom_site_fract_z
_atom_site_occupancy
Cd1 0.0000 0.0000 0.0000 1
Cd2 0.0000 0.0000 0.5000 1
B1 0.5000 0.5000 0.2089 1
O1 0.0000 0.5000 0.2651 1
O2 0.5000 0.5000 0.0000 1
```

No. 19
A plane-wave DFT calculation with PBE was carried out for crystalline CdB2O4 at its relaxed geometry.

The structure in CIF format:
```
data_CdB2O4
_symmetry_space_group_name_H-M 'C 1 2/c 1'
_symmetry_Int_Tables_number 15
_cell_length_a 9.8958
_cell_length_b 5.9619
_cell_length_c 4.5025
_cell_angle_alpha 90.00
_cell_angle_beta 108.89
_cell_angle_gamma 90.00
loop_
_symmetry_equiv_pos_as_xyz
'x,y,z'
'-x,-y,-z'
'-x,y,-z+1/2'
'x,-y,z+1/2'
'x+1/2,y+1/2,z'
'-x+1/2,-y+1/2,-z'
'-x+1/2,y+1/2,-z+1/2'
'x+1/2,-y+1/2,z+1/2'
loop_
_atom_site_label
_atom_site_fract_x
_atom_site_fract_y
_atom_site_fract_z
_atom_site_occupancy
Cd1 0.0000 0.1775 0.2500 1
B1 0.1947 0.3928 0.8927 1
O1 0.1485 0.1600 0.9591 1
O2 0.1488 0.4308 0.5579 1
```

Number 1: volume 14.31 Å³/atom, VASP energy -10.5 eV/f.u.. Number 2: volume 15.17 Å³/atom, VASP energy -9.4 eV/f.u.. Number 3: volume 11.56 Å³/atom, VASP energy -14.2 eV/f.u.. Number 4: volume 13.31 Å³/atom, VASP energy -16.3 eV/f.u.. Number 5: volume 12.99 Å³/atom, VASP energy -16.2 eV/f.u.. Number 6: volume 12.86 Å³/atom, VASP energy -22.3 eV/f.u.. Number 7: volume 13.57 Å³/atom, VASP energy -23.1 eV/f.u.. Number 8: volume 13.87 Å³/atom, VASP energy -21.9 eV/f.u.. Number 9: volume 12.76 Å³/atom, VASP energy -20.9 eV/f.u.. Number 10: volume 13.03 Å³/atom, VASP energy -20.4 eV/f.u.. Number 11: volume 13.12 Å³/atom, VASP energy -22.9 eV/f.u.. Number 12: volume 16.11 Å³/atom, VASP energy -18.8 eV/f.u.. Number 13: volume 13.25 Å³/atom, VASP energy -11.6 eV/f.u.. Number 14: volume 8.17 Å³/atom, VASP energy -88.3 eV/f.u.. Number 15: volume 8.72 Å³/atom, VASP energy -48.3 eV/f.u.. Number 16: volume 12.21 Å³/atom, VASP energy -64.6 eV/f.u.. Number 17: volume 10.39 Å³/atom, VASP energy -89.1 eV/f.u.. Number 18: volume 9.02 Å³/atom, VASP energy -47.9 eV/f.u.. Number 19: volume 8.98 Å³/atom, VASP energy -48.3 eV/f.u..